SrAcCo: optimized geometry, PBE-GGA.

Computed properties:
E: -0.315 Ry/atom
Crystal system: orthorhombic
Energy of formation: 0.009 eV per atom
E above lowest polymorph: 0 meV per atom

Cell lengths 4.2018, 25.2151, 4.1305 Å; angles 90.00, 90.00, 90.00 degrees
With the nearest neighbours (Å) after each atom.
Space group Cmcm (No. 63)
Unique sites:
1 Sr 0.0000 0.1890 0.2500  8 Sr 4.13-4.26, 4 Ac 4.27, 1 Co 4.29
2 Ac 0.0000 0.4334 0.2500  6 Co 3.01-3.18
3 Co 0.0000 0.0189 0.2500  2 Co 2.27